Entry 1:
{
  "formula": "Mn3GaRe",
  "functional": "PBE",
  "state": "optimized geometry",
  "lattice": [[4.179, 0.000, 0.000], [0.000, 4.179, 0.000], [0.000, 0.000, 4.179]],
  "species": ["Re", "Mn", "Mn", "Mn", "Ga"],
  "frac_coords": [[0.500, 0.500, 0.500], [0.000, 0.500, 0.000], [0.000, 0.000, 0.500], [0.500, 0.000, 0.000], [0.000, 0.000, 0.000]],
  "vol_a3_per_atom": 14.59,
  "de_polymorph_mev_per_atom": 401,
  "spacegroup": "Pm-3m, No. 221",
  "magnetic_moment_mub_per_cell": 0.00,
  "density_g_cm3": 9.6
}

Entry 2:
{
  "formula": "Mn2Ga2Re",
  "functional": "PBE",
  "state": "optimized geometry",
  "lattice": [[-4.354, -1.888, 4.812], [3.160, -5.952, 0.524], [1.845, 1.167, 2.127]],
  "species": ["Re", "Re", "Mn", "Mn", "Mn", "Mn", "Ga", "Ga", "Ga", "Ga"],
  "frac_coords": [[0.000, 0.000, 0.000], [0.500, 0.500, 0.000], [0.169, 0.669, 0.500], [0.669, 0.831, 0.500], [0.831, 0.331, 0.500], [0.331, 0.169, 0.500], [0.367, 0.867, 0.000], [0.867, 0.633, 0.000], [0.633, 0.133, 0.000], [0.133, 0.367, 0.000]],
  "vol_a3_per_atom": 13.93,
  "spacegroup": "P4/mbm, No. 127",
  "magnetic_moment_mub_per_cell": 10.77,
  "density_g_cm3": 10.4
}

Entry 3:
{
  "formula": "Mn2GaRe",
  "functional": "PBE",
  "state": "optimized geometry",
  "lattice": [[-1.480, 2.012, 6.330], [5.733, -2.887, 2.258], [3.401, 1.776, 3.888]],
  "species": ["Re", "Re", "Mn", "Mn", "Mn", "Mn", "Ga", "Ga"],
  "frac_coords": [[0.000, 0.000, 0.000], [0.750, 0.250, 0.500], [0.639, 0.125, 0.250], [0.111, 0.625, 0.250], [0.375, 0.361, 0.750], [0.875, 0.889, 0.750], [0.500, 0.500, 0.000], [0.250, 0.750, 0.500]],
  "vol_a3_per_atom": 14.97,
  "spacegroup": "I-42d, No. 122",
  "magnetic_moment_mub_per_cell": 9.70,
  "density_g_cm3": 10.1
}

Entry 4:
{
  "formula": "Mn3GaRe",
  "functional": "PBE",
  "state": "optimized geometry",
  "lattice": [[4.629, 0.000, 0.000], [0.000, 4.629, 0.000], [0.000, 0.000, 4.629]],
  "species": ["Re", "Mn", "Mn", "Mn", "Ga"],
  "frac_coords": [[0.000, 0.000, 0.000], [0.000, 0.500, 0.000], [0.000, 0.000, 0.500], [0.500, 0.000, 0.000], [0.500, 0.500, 0.500]],
  "vol_a3_per_atom": 19.83,
  "de_polymorph_mev_per_atom": 0,
  "spacegroup": "Pm-3m, No. 221",
  "magnetic_moment_mub_per_cell": 8.50,
  "density_g_cm3": 7.0
}

Entry 5:
{
  "formula": "MnGaRe3",
  "functional": "PBE",
  "state": "optimized geometry",
  "lattice": [[-2.741, 1.667, -3.079], [-3.417, -2.125, 1.893], [-0.762, 3.533, 2.591]],
  "species": ["Re", "Re", "Re", "Mn", "Ga"],
  "frac_coords": [[0.000, 0.500, 0.000], [0.000, 0.000, 0.500], [0.500, 0.000, 0.000], [0.500, 0.500, 0.500], [0.000, 0.000, 0.000]],
  "vol_a3_per_atom": 17.59,
  "de_polymorph_mev_per_atom": 706,
  "spacegroup": "Pm-3m, No. 221",
  "magnetic_moment_mub_per_cell": 0.00,
  "density_g_cm3": 12.9
}

Entry 6:
{
  "formula": "MnGaRe2",
  "functional": "PBE",
  "state": "optimized geometry",
  "lattice": [[-2.735, 5.572, 3.664], [-6.637, -2.658, -0.912], [-4.467, 0.198, 3.453]],
  "species": ["Re", "Re", "Re", "Re", "Mn", "Mn", "Ga", "Ga"],
  "frac_coords": [[0.561, 0.125, 0.250], [0.189, 0.625, 0.250], [0.375, 0.439, 0.750], [0.875, 0.811, 0.750], [0.500, 0.500, 0.000], [0.250, 0.750, 0.500], [0.000, 0.000, 0.000], [0.750, 0.250, 0.500]],
  "vol_a3_per_atom": 15.84,
  "spacegroup": "I-42d, No. 122",
  "magnetic_moment_mub_per_cell": 0.00,
  "density_g_cm3": 13.0
}

Entry 7:
{
  "formula": "MnGa3Re",
  "functional": "PBE",
  "state": "optimized geometry",
  "lattice": [[-3.286, 2.144, 2.815], [-1.048, -4.259, 2.021], [3.380, 0.764, 3.363]],
  "species": ["Re", "Mn", "Ga", "Ga", "Ga"],
  "frac_coords": [[0.000, 0.000, 0.000], [0.500, 0.500, 0.500], [0.000, 0.500, 0.000], [0.000, 0.000, 0.500], [0.500, 0.000, 0.000]],
  "vol_a3_per_atom": 22.52,
  "de_polymorph_mev_per_atom": 0,
  "spacegroup": "Pm-3m, No. 221",
  "magnetic_moment_mub_per_cell": 5.27,
  "density_g_cm3": 6.6
}

Entry 8:
{
  "formula": "Mn2GaRe2",
  "functional": "PBE",
  "state": "optimized geometry",
  "lattice": [[-3.694, 3.650, -4.895], [-4.376, -5.572, -0.852], [-1.634, 0.983, 1.966]],
  "species": ["Re", "Re", "Re", "Re", "Mn", "Mn", "Mn", "Mn", "Ga", "Ga"],
  "frac_coords": [[0.159, 0.659, 0.500], [0.659, 0.841, 0.500], [0.841, 0.341, 0.500], [0.341, 0.159, 0.500], [0.369, 0.869, 0.000], [0.869, 0.631, 0.000], [0.631, 0.131, 0.000], [0.131, 0.369, 0.000], [0.000, 0.000, 0.000], [0.500, 0.500, 0.000]],
  "vol_a3_per_atom": 13.95,
  "spacegroup": "P4/mbm, No. 127",
  "magnetic_moment_mub_per_cell": 0.00,
  "density_g_cm3": 13.1
}

The evaluated calculated formation energy for the records listed, in turn: 1.6396; 0.0908; 0.6017; 1.2383; 2.2183; 0.6827; 0.6030; 0.2254 eV/atom.